# 1
Compound: LaCuSb2
Source: the Alexandria database
Functional: PBE
Structure: relaxed

Cell: 4.053 4.053 6.481 Å, 90.00 90.00 90.00°
Space group P4mm (No. 99)
One atom of each set of equivalent atoms:
La (0.000, 0.000, 0.000)
Cu (0.500, 0.500, 0.628)
Sb (0.000, 0.000, 0.513)
Sb (0.500, 0.500, 0.213)

Output
Uncorrected formation energy: -0.280 eV/atom

---

# 2
Compound: Pm2Y5Rh4
Source: the Alexandria database
Functional: PBE
Structure: relaxed

Cell: 24.239 3.582 6.906 Å, 90.00 92.64 90.00°
Space group C2/m (No. 12)
One atom of each set of equivalent atoms:
Pm (0.086, 0.000, 0.153)
Y (0.000, 0.500, 0.500)
Y (0.134, 0.000, 0.676)
Y (0.233, 0.000, 0.221)
Rh (0.028, 0.000, 0.801)
Rh (0.169, 0.500, 0.979)

Output
Energy of formation: -0.39 eV/atom